Density functional theory data (PBE) for a geometry-optimized Y3Te3N structure.

Formation energy without anion corrections (eV/atom): -1.477
Space-group type: No. 62
Distance to the lowest polymorph of the same formula (meV/atom): 35
E_tot (eV per atom): -6.7830

Cell lengths 4.143, 13.678, 13.848 Å; angles 90.00, 90.00, 90.00 degrees
Fractional positions:
Y: 0.750 0.960 0.840
Y: 0.250 0.540 0.340
Y: 0.250 0.040 0.160
Y: 0.750 0.460 0.660
Y: 0.750 0.949 0.365
Y: 0.250 0.551 0.865
Y: 0.250 0.051 0.635
Y: 0.750 0.449 0.135
Y: 0.750 0.816 0.151
Y: 0.250 0.684 0.651
Y: 0.250 0.184 0.849
Y: 0.750 0.316 0.349
Te: 0.750 0.720 0.821
Te: 0.250 0.780 0.321
Te: 0.250 0.280 0.179
Te: 0.750 0.220 0.679
Te: 0.750 0.124 0.997
Te: 0.250 0.376 0.497
Te: 0.250 0.876 0.003
Te: 0.750 0.624 0.503
Te: 0.750 0.893 0.601
Te: 0.250 0.607 0.101
Te: 0.250 0.107 0.399
Te: 0.750 0.393 0.899
N: 0.750 0.969 0.207
N: 0.250 0.531 0.707
N: 0.250 0.031 0.793
N: 0.750 0.469 0.293